# TmTaFe2O6 (PBE+U, relaxed)
data_TmTaFe2O6
_chemical_formula_sum 'Tm1 Ta1 Fe2 O6'
_cell_length_a 5.4650
_cell_length_b 5.4973
_cell_length_c 6.0142
_cell_angle_alpha 92.04
_cell_angle_beta 114.79
_cell_angle_gamma 119.22
_space_group_name_H-M_alt 'P 1'
_space_group_IT_number 1
loop_
_space_group_symop_operation_xyz
'x,y,z'
loop_
_atom_site_label
_atom_site_fract_x
_atom_site_fract_y
_atom_site_fract_z
Tm1 0.0000 0.0000 0.0000
Ta1 0.3836 0.1831 0.5730
Fe1 0.0989 0.5465 0.6384
Fe2 0.7458 0.3717 0.1181
O1 0.0053 0.7966 0.3436
O2 0.1434 0.3426 0.3566
O3 0.2603 0.2788 0.8260
O4 0.5317 0.1891 0.3287
O5 0.5490 0.9792 0.8171
O6 0.8461 0.5619 0.8127
# - Crystal system: triclinic
# - DFT total energy: -0.299 Ha/atom